VASP calculation (GGA+U) on KHgMoF6 after structural relaxation.

The structure in extended XYZ format:
```
18
Lattice="6.205 0.000 0.000 -3.102 5.374 0.000 0.000 0.000 8.799" Properties=species:S:1:pos:R:3 pbc="T T T"
K 0.000 3.582 2.200
K 3.102 1.791 6.600
Hg 0.000 0.000 0.000
Hg 0.000 0.000 4.400
Mo 0.000 3.582 6.600
Mo 3.102 1.791 2.200
F -0.772 1.984 5.455
F -1.770 3.713 7.744
F 0.772 1.984 7.744
F -0.998 5.050 5.455
F 2.104 0.324 1.056
F 1.333 1.661 3.344
F 1.770 3.713 5.455
F 0.998 5.050 7.744
F 4.100 0.324 3.344
F 2.331 3.389 1.056
F 4.872 1.661 1.056
F 3.874 3.389 3.344
```

Results
Symmetry: No. 163
Volume, Å³/cell: 293.40
Uncorrected energy, eV/f.u.: -39.8